[1]
A plane-wave DFT calculation with PBEsol was carried out for FeSiSeBr2 after structural relaxation.

Electronic total energy in eV per atom: -4.080
Symmetry: P4/mmm

Unit cell a=4.7391 b=4.7391 c=4.8661 alpha=90.00 beta=90.00 gamma=90.00
Atoms (fractional coordinates):
Fe 0.0000 0.0000 0.0000
Si 0.5000 0.5000 0.5000
Se 0.0000 0.0000 0.5000
Br 0.0000 0.5000 0.0000
Br 0.5000 0.0000 0.0000


[2]
A plane-wave DFT calculation with PBEsol was carried out for SrH2Ir after structural relaxation.

Electronic total energy in eV per atom: -4.765
Symmetry: I-42d

Unit cell a=6.3085 b=6.3085 c=6.3085 alpha=138.83 beta=138.83 gamma=59.63
Atoms (fractional coordinates):
Sr 0.0000 0.0000 0.0000
Sr 0.7500 0.2500 0.5000
H 0.3348 0.6250 0.2098
H 0.3750 0.5848 0.7098
H 0.4152 0.1250 0.7902
H 0.8750 0.6652 0.2902
Ir 0.2500 0.7500 0.5000
Ir 0.5000 0.5000 0.0000


[3]
A plane-wave DFT calculation with PBEsol was carried out for ScBeOs after structural relaxation.

Electronic total energy in eV per atom: -7.561
Energy of formation from the pure elements in eV per atom: 0.046
Symmetry: F-43m

Unit cell a=3.9698 b=3.9698 c=3.9698 alpha=60.00 beta=60.00 gamma=60.00
Atoms (fractional coordinates):
Sc 0.0000 0.0000 0.0000
Be 0.2500 0.2500 0.2500
Os 0.5000 0.5000 0.5000


[4]
A plane-wave DFT calculation with PBEsol was carried out for Sc3Al3C2O5 after structural relaxation.

Electronic total energy in eV per atom: -8.312
Symmetry: P6_3/mmc

Unit cell a=3.2497 b=3.2497 c=31.4606 alpha=90.00 beta=90.00 gamma=120.00
Atoms (fractional coordinates):
Sc 0.0000 0.0000 0.0000
Sc 0.0000 0.0000 0.5000
Sc 0.3333 0.6667 0.1594
Sc 0.3333 0.6667 0.3406
Sc 0.6667 0.3333 0.6594
Sc 0.6667 0.3333 0.8406
Al 0.0000 0.0000 0.2500
Al 0.0000 0.0000 0.7500
Al 0.3333 0.6667 0.5689
Al 0.3333 0.6667 0.9311
Al 0.6667 0.3333 0.0689
Al 0.6667 0.3333 0.4311
C 0.3333 0.6667 0.0458
C 0.3333 0.6667 0.4542
C 0.6667 0.3333 0.5458
C 0.6667 0.3333 0.9542
O 0.0000 0.0000 0.1909
O 0.0000 0.0000 0.3091
O 0.0000 0.0000 0.6909
O 0.0000 0.0000 0.8091
O 0.3333 0.6667 0.2500
O 0.3333 0.6667 0.6275
O 0.3333 0.6667 0.8725
O 0.6667 0.3333 0.1275
O 0.6667 0.3333 0.3725
O 0.6667 0.3333 0.7500